DFT (GGA-PBE) results for a relaxed structure of CsIn2TcGe.

abc: 5.370 5.370 4.923
angles: 90.00 90.00 90.00
Element x y z (fractional)
Cs (0.000, 0.000, 0.000)
In (0.000, 0.500, 0.500)
In (0.500, 0.000, 0.500)
Tc (0.500, 0.500, 0.500)
Ge (0.500, 0.500, 0.000)

Computed properties:
ΔE_f = -0.038 eV/atom
space-group type = P4/mmm

---

DFT (GGA-PBE) results for a relaxed structure of CsInTcGe2.

abc: 4.941 4.941 5.328
angles: 90.00 90.00 90.00
Element x y z (fractional)
Cs (0.000, 0.000, 0.000)
In (0.500, 0.500, 0.000)
Tc (0.500, 0.500, 0.500)
Ge (0.000, 0.500, 0.500)
Ge (0.500, 0.000, 0.500)

Computed properties:
ΔE_f = 0.031 eV/atom
space-group type = P4/mmm

---

DFT (GGA-PBE) results for a relaxed structure of CsInGeTe4.

abc: 7.163 8.456 10.157
angles: 90.00 100.35 90.00
Element x y z (fractional)
Cs (0.228, 0.250, 0.078)
Cs (0.772, 0.750, 0.922)
In (0.356, 0.250, 0.672)
In (0.644, 0.750, 0.328)
Ge (0.140, 0.750, 0.315)
Ge (0.860, 0.250, 0.685)
Te (0.093, 0.007, 0.703)
Te (0.093, 0.493, 0.703)
Te (0.325, 0.750, 0.113)
Te (0.416, 0.750, 0.527)
Te (0.584, 0.250, 0.473)
Te (0.675, 0.250, 0.887)
Te (0.907, 0.507, 0.297)
Te (0.907, 0.993, 0.297)

Computed properties:
space-group type = P2_1/m

---

DFT (GGA-PBE) results for a relaxed structure of CsInGeTe2.

abc: 6.613 6.613 6.023
angles: 90.00 90.00 90.00
Element x y z (fractional)
Cs (0.000, 0.000, 0.000)
In (0.500, 0.500, 0.500)
Ge (0.000, 0.000, 0.500)
Te (0.000, 0.500, 0.000)
Te (0.500, 0.000, 0.000)

Computed properties:
space-group type = P4/mmm

---

DFT (GGA-PBE) results for a relaxed structure of CsVInGe2.

abc: 4.971 4.971 5.902
angles: 90.00 90.00 90.00
Element x y z (fractional)
Cs (0.000, 0.000, 0.000)
V (0.000, 0.000, 0.500)
In (0.500, 0.500, 0.000)
Ge (0.000, 0.500, 0.500)
Ge (0.500, 0.000, 0.500)

Computed properties:
ΔE_f = 0.521 eV/atom
space-group type = P4/mmm

---

DFT (GGA-PBE) results for a relaxed structure of CsGeIr3.

abc: 5.020 5.020 5.020
angles: 90.00 90.00 90.00
Element x y z (fractional)
Cs (0.000, 0.000, 0.000)
Ge (0.500, 0.500, 0.500)
Ir (0.000, 0.000, 0.500)
Ir (0.000, 0.500, 0.000)
Ir (0.500, 0.000, 0.000)

Computed properties:
energy relative to the lowest polymorph listed for this composition = 1.828 eV/atom
ΔE_f = 3.040 eV/atom
space-group type = Pm-3m

---

DFT (GGA-PBE) results for a relaxed structure of Cs2GeIr.

abc: 5.769 5.769 5.769
angles: 60.00 60.00 60.00
Element x y z (fractional)
Cs (0.250, 0.250, 0.250)
Cs (0.750, 0.750, 0.750)
Ge (0.000, 0.000, 0.000)
Ir (0.500, 0.500, 0.500)

Computed properties:
ΔE_f = 1.225 eV/atom
space-group type = Fm-3m

---

DFT (GGA-PBE) results for a relaxed structure of CsGeIr3.

abc: 4.789 4.789 4.789
angles: 90.00 90.00 90.00
Element x y z (fractional)
Cs (0.000, 0.000, 0.000)
Ge (0.500, 0.500, 0.500)
Ir (0.000, 0.500, 0.500)
Ir (0.500, 0.000, 0.500)
Ir (0.500, 0.500, 0.000)

Computed properties:
energy relative to the lowest polymorph listed for this composition = 0.000 eV/atom
ΔE_f = 1.212 eV/atom
space-group type = Pm-3m

---

DFT (GGA-PBE) results for a relaxed structure of CsGeIr.

abc: 4.198 4.198 12.401
angles: 90.00 90.00 90.00
Element x y z (fractional)
Cs (0.250, 0.250, 0.228)
Cs (0.750, 0.750, 0.772)
Ge (0.250, 0.250, 0.607)
Ge (0.750, 0.750, 0.393)
Ir (0.250, 0.750, 0.500)
Ir (0.750, 0.250, 0.500)

Computed properties:
ΔE_f = -0.274 eV/atom
space-group type = P4/nmm

---

DFT (GGA-PBE) results for a relaxed structure of CsLi2GeIr.

abc: 5.213 5.213 4.725
angles: 90.00 90.00 90.00
Element x y z (fractional)
Cs (0.000, 0.000, 0.000)
Li (0.000, 0.500, 0.500)
Li (0.500, 0.000, 0.500)
Ge (0.500, 0.500, 0.000)
Ir (0.500, 0.500, 0.500)

Computed properties:
ΔE_f = -0.085 eV/atom
space-group type = P4/mmm

---

DFT (GGA-PBE) results for a relaxed structure of CsNa2GeIr.

abc: 5.708 5.708 4.732
angles: 90.00 90.00 90.00
Element x y z (fractional)
Cs (0.000, 0.000, 0.000)
Na (0.000, 0.500, 0.500)
Na (0.500, 0.000, 0.500)
Ge (0.500, 0.500, 0.000)
Ir (0.500, 0.500, 0.500)

Computed properties:
ΔE_f = 0.023 eV/atom
space-group type = P4/mmm

---

DFT (GGA-PBE) results for a relaxed structure of CsGeIrPb.

abc: 4.311 4.311 14.413
angles: 90.00 90.00 90.00
Element x y z (fractional)
Cs (0.250, 0.250, 0.234)
Cs (0.750, 0.750, 0.766)
Ge (0.250, 0.250, 0.915)
Ge (0.750, 0.750, 0.085)
Ir (0.250, 0.750, 0.000)
Ir (0.750, 0.250, 0.000)
Pb (0.250, 0.750, 0.500)
Pb (0.750, 0.250, 0.500)

Computed properties:
ΔE_f = -0.141 eV/atom
space-group type = P4/nmm

---

DFT (GGA-PBE) results for a relaxed structure of CsGeIr2Ru.

abc: 5.024 5.024 5.312
angles: 90.00 90.00 90.00
Element x y z (fractional)
Cs (0.000, 0.000, 0.000)
Ge (0.000, 0.000, 0.500)
Ir (0.000, 0.500, 0.000)
Ir (0.500, 0.000, 0.000)
Ru (0.500, 0.500, 0.500)

Computed properties:
ΔE_f = 3.193 eV/atom
space-group type = P4/mmm

---

no.,energy (eV per atom)
1,-4.301
2,-4.607
3,-3.361
4,-1.942
5,-3.868
6,-3.371
7,-2.571
8,-5.199
9,-5.052
10,-3.717
11,-3.371
12,-4.651
13,-3.301